Entry 1:
Material: CrRu2W
Method: DFT, PBE
State: relaxed

## Properties
crystal system	trigonal
total magnetic moment	0.017	μB/f.u.
ΔH_f (0 K)	0.185	eV per atom

Cell: 8.9402 8.9402 8.9402 Å, 17.51 17.51 17.51°
Element x y z (fractional)
Cr (0.0000, 0.0000, 0.0000)
Ru (0.2546, 0.2546, 0.2546)
Ru (0.7454, 0.7454, 0.7454)
W (0.5000, 0.5000, 0.5000)

***

Entry 2:
Material: AlCdRe4
Method: DFT, PBE
State: relaxed

## Properties
crystal system	cubic
total magnetic moment	0.000	μB/f.u.
ΔH_f (0 K)	0.474	eV per atom

Cell: 5.2406 5.2406 5.2406 Å, 60.00 60.00 60.00°
Element x y z (fractional)
Al (0.0000, 0.0000, 0.0000)
Cd (0.7500, 0.7500, 0.7500)
Re (0.3750, 0.3750, 0.3750)
Re (0.3750, 0.3750, 0.8750)
Re (0.3750, 0.8750, 0.3750)
Re (0.8750, 0.3750, 0.3750)